Entry 1:
RhWCl: single point on PBEsol structure, SCAN.

Lattice parameters (Å, degrees): 2.8633 2.8633 6.0979 103.58 103.58 90.00
Sites, in units of the cell vectors:
Cl  0.9761  0.9761  0.9522
W  0.3327  0.3327  0.6654
Rh  0.6912  0.6912  0.3824

Calculated values
As for the density of states at the Fermi level: 1.9 states/eV/cell. The uncorrected formation energy is 0.190 eV/atom. For the energy above the lowest structure with this stoichiometry, the calculation gives 0.0 meV/atom. Its space group is No. 107.

Entry 2:
LaF3: single point on PBEsol structure, SCAN.

Lattice parameters (Å, degrees): 4.1210 4.1210 7.2764 90.00 90.00 120.00
Sites, in units of the cell vectors:
F  0.6667  0.3333  0.4200
La  0.3333  0.6667  0.2500
F  0.3333  0.6667  0.9200
F  0.0000  0.0000  0.2500
La  0.6667  0.3333  0.7500
F  0.6667  0.3333  0.0800
F  0.0000  0.0000  0.7500
F  0.3333  0.6667  0.5800

Calculated values
As for the density of states at the Fermi level: 0.0 states/eV/cell. The uncorrected formation energy is -4.471 eV/atom. Its space group is No. 194.

Entry 3:
SiTc2BI: single point on PBEsol structure, SCAN.

Lattice parameters (Å, degrees): 3.7007 4.6095 4.6095 90.00 90.00 90.00
Sites, in units of the cell vectors:
Tc  0.0000  0.5000  0.0000
B  0.5000  0.0000  0.0000
Si  0.0000  0.0000  0.0000
I  0.5000  0.5000  0.5000
Tc  0.0000  0.0000  0.5000

Calculated values
As for the density of states at the Fermi level: 3.0 states/eV/cell. The uncorrected formation energy is 1.252 eV/atom. Its space group is No. 123.